# 1
VASP calculation (GGA-PBE) on a relaxed structure of Li2AcSnPd4.

Properties
As for the space-group type: R-3m (166). The value obtained for the calculated formation energy is -0.61 eV/atom.

abc: 4.4531 4.4531 9.1719
angles: 75.95 75.95 60.00
Last column: nearest neighbours and their distance in Å.
Fractional coordinates of all 8 atoms:
Li  0.7671  0.7671  0.6987  7 Pd 2.66-2.81
Li  0.2329  0.2329  0.3013  7 Pd 2.66-2.81
Ac  0.0000  0.0000  0.0000  8 Pd 3.10-3.35
Sn  0.5000  0.5000  0.5000  8 Pd 2.66-2.78
Pd  0.3991  0.3991  0.8027  1 Sn 2.66, 3 Li 2.73
Pd  0.8733  0.8733  0.3800  4 Li 2.66-2.81, 3 Sn 2.78
Pd  0.1267  0.1267  0.6200  4 Li 2.66-2.81, 3 Sn 2.78
Pd  0.6009  0.6009  0.1973  1 Sn 2.66, 3 Li 2.73


# 2
VASP calculation (GGA-PBE) on a relaxed structure of Li3Ac2Sn4Pd.

Properties
As for the space-group type: P-4m2 (115). The value obtained for the calculated formation energy is -0.63 eV/atom.

abc: 4.7212 4.7212 10.9350
angles: 90.00 90.00 90.00
Last column: nearest neighbours and their distance in Å.
Fractional coordinates of all 10 atoms:
Li  0.0000  0.0000  0.5000  4 Sn 2.70
Li  0.5000  0.0000  0.8662  5 Sn 2.69-2.78
Li  0.0000  0.5000  0.1338  5 Sn 2.69-2.78
Ac  0.5000  0.0000  0.2577  2 Pd 3.55, 6 Li 3.55-3.60, 9 Sn 3.59-3.97
Ac  0.0000  0.5000  0.7423  2 Pd 3.55, 6 Li 3.55-3.60, 9 Sn 3.59-3.97
Sn  0.5000  0.5000  0.0000  4 Li 2.78
Sn  0.0000  0.0000  0.0000  4 Li 2.78
Sn  0.5000  0.0000  0.6206  3 Li 2.69-2.70, 2 Pd 2.70
Sn  0.0000  0.5000  0.3794  3 Li 2.69-2.70, 2 Pd 2.70
Pd  0.5000  0.5000  0.5000  4 Sn 2.70


# 3
VASP calculation (GGA-PBE) on a relaxed structure of SrLiAcPd.

Properties
For the distance to the lowest polymorph of the same formula, the calculation gives 0.088 eV/atom. As for the space-group type: F-43m (216). The value obtained for the calculated formation energy is -0.25 eV/atom.

abc: 5.4699 5.4699 5.4699
angles: 60.00 60.00 60.00
Last column: nearest neighbours and their distance in Å.
Fractional coordinates of all 4 atoms:
Sr  0.5000  0.5000  0.5000  4 Li 3.35, 4 Pd 3.35
Ac  0.0000  0.0000  0.0000  4 Pd 3.35, 4 Li 3.35
Pd  0.2500  0.2500  0.2500  4 Sr 3.35, 4 Ac 3.35
Li  0.7500  0.7500  0.7500  4 Sr 3.35, 4 Ac 3.35


# 4
VASP calculation (GGA-PBE) on a relaxed structure of SrLiAcPd.

Properties
For the distance to the lowest polymorph of the same formula, the calculation gives 0.000 eV/atom. As for the space-group type: Cm (8). The value obtained for the calculated formation energy is -0.34 eV/atom.

abc: 4.4151 4.4151 8.2555
angles: 90.08 105.44 119.97
Last column: nearest neighbours and their distance in Å.
Fractional coordinates of all 4 atoms:
Sr  0.3554  0.0431  0.3985  3 Li 3.27, 3 Pd 3.48
Li  0.5155  0.6224  0.1379  3 Pd 2.57
Ac  0.9997  0.8638  0.8636  3 Pd 3.14, 3 Li 3.34
Pd  0.8214  0.2751  0.0965  3 Li 2.57


# 5
VASP calculation (GGA-PBE) on a relaxed structure of Li2AcTbPd5.

Properties
As for the space-group type: P4/mmm (123). The value obtained for the calculated formation energy is -0.62 eV/atom.

abc: 4.5305 4.5305 8.1191
angles: 90.00 90.00 90.00
Last column: nearest neighbours and their distance in Å.
Fractional coordinates of all 9 atoms:
Li  0.5000  0.5000  0.1425  1 Li 2.31, 4 Pd 2.41
Li  0.5000  0.5000  0.8575  1 Li 2.31, 4 Pd 2.41
Ac  0.0000  0.0000  0.5000  12 Pd 3.08-3.20
Tb  0.0000  0.0000  0.0000  8 Pd 3.01
Pd  0.0000  0.5000  0.2433  2 Li 2.41
Pd  0.5000  0.0000  0.2433  2 Li 2.41
Pd  0.0000  0.5000  0.7567  2 Li 2.41
Pd  0.5000  0.0000  0.7567  2 Li 2.41
Pd  0.5000  0.5000  0.5000  2 Li 2.90, 8 Pd 3.08, 4 Ac 3.20


# 6
VASP calculation (GGA-PBE) on a relaxed structure of LiAcTe2Pd2.

Properties
As for the space-group type: P-3m1 (164). Its uncorrected formation energy is -0.9601 eV/atom.

abc: 4.6366 4.6366 7.6437
angles: 90.00 90.00 120.00
Last column: nearest neighbours and their distance in Å.
Fractional coordinates of all 6 atoms:
Li  0.0000  0.0000  0.5000  6 Pd 3.10, 6 Te 3.19
Ac  0.0000  0.0000  0.0000  6 Te 3.40, 6 Pd 3.50
Te  0.6667  0.3333  0.7260  3 Pd 2.68
Te  0.3333  0.6667  0.2740  3 Pd 2.68
Pd  0.6667  0.3333  0.2943  3 Te 2.68
Pd  0.3333  0.6667  0.7057  3 Te 2.68


# 7
VASP calculation (GGA-PBE) on a relaxed structure of LiAc2Te3Pd4.

Properties
As for the space-group type: P-4m2 (115). Its uncorrected formation energy is -0.9009 eV/atom.

abc: 4.5438 4.5438 11.3284
angles: 90.00 90.00 90.00
Last column: nearest neighbours and their distance in Å.
Fractional coordinates of all 10 atoms:
Li  0.5000  0.5000  0.5000  4 Pd 2.71
Ac  0.5000  0.0000  0.2420  6 Te 3.42-3.70, 8 Pd 3.52-3.56, 2 Li 3.70
Ac  0.0000  0.5000  0.7580  6 Te 3.42-3.70, 8 Pd 3.52-3.56, 2 Li 3.70
Te  0.0000  0.0000  0.5000  4 Pd 2.71
Te  0.5000  0.0000  0.8624  5 Pd 2.63-2.76
Te  0.0000  0.5000  0.1376  5 Pd 2.63-2.76
Pd  0.5000  0.5000  0.0000  4 Te 2.76
Pd  0.0000  0.0000  0.0000  4 Te 2.76
Pd  0.5000  0.0000  0.6300  3 Te 2.63-2.71, 2 Li 2.71
Pd  0.0000  0.5000  0.3700  3 Te 2.63-2.71, 2 Li 2.71


# 8
VASP calculation (GGA-PBE) on a relaxed structure of LiAcThPd.

Properties
As for the space-group type: F-43m (216). The value obtained for the calculated formation energy is -0.14 eV/atom.

abc: 5.3157 5.3157 5.3157
angles: 60.00 60.00 60.00
Last column: nearest neighbours and their distance in Å.
Fractional coordinates of all 4 atoms:
Ac  0.2500  0.2500  0.2500  4 Li 3.26, 4 Pd 3.26
Pd  0.5000  0.5000  0.5000  4 Ac 3.26, 4 Th 3.26
Th  0.7500  0.7500  0.7500  4 Li 3.26, 4 Pd 3.26
Li  0.0000  0.0000  0.0000  4 Th 3.26, 4 Ac 3.26


Number 1: spin magnetization 0.0 μB/f.u.. Number 2: spin magnetization 0.0 μB/f.u.. Number 3: spin magnetization 0.0 μB/f.u.. Number 4: spin magnetization 0.0 μB/f.u.. Number 5: spin magnetization 0.0 μB/f.u.. Number 6: spin magnetization 0.0 μB/f.u.. Number 7: spin magnetization 0.0 μB/f.u.. Number 8: spin magnetization 0.2 μB/f.u..